1.
An optimized crystal structure of SrAs2Rh. Source: Alexandria via LeMat-Bulk, functional PBE.

Results
Formation enthalpy at 0 K = -0.586 eV per atom
Energy = -5.170 eV/atom
Magnetic moment = 0.000 μB per atom
Volume = 24.0 A^3/atom

Cell lengths 7.5172, 7.5172, 6.7981 Å; angles 90.00, 90.00, 90.00 degrees
Last column: nearest neighbours and their distance in Å.
Space group I-42d (No. 122)
Symmetry-distinct sites (fractional):
Sr  0.0000  0.0000  0.0000 (multiplicity 4)  8 As 3.27-3.40, 2 Rh 3.40
As  0.1631  0.7500  0.6250 (multiplicity 8)  2 Rh 2.40
Rh  0.0000  0.0000  0.5000 (multiplicity 4)  4 As 2.40

=====

2.
An optimized crystal structure of SrAs2Rh. Source: Alexandria via LeMat-Bulk, functional PBE.

Results
Formation enthalpy at 0 K = -0.293 eV per atom
Energy = -4.876 eV/atom
Magnetic moment = 0.000 μB per atom
Volume = 21.4 A^3/atom

Cell lengths 3.5339, 3.5339, 6.8502 Å; angles 90.00, 90.00, 90.00 degrees
Last column: nearest neighbours and their distance in Å.
Space group P4mm (No. 99)
Symmetry-distinct sites (fractional):
Sr  0.0000  0.0000  0.0000 (multiplicity 1)  5 As 3.17-3.21, 4 Rh 3.47, 4 Sr 3.53
As  0.0000  0.0000  0.5309 (multiplicity 1)  4 Rh 2.63
As  0.5000  0.5000  0.2840 (multiplicity 1)  1 Rh 2.50
Rh  0.5000  0.5000  0.6494 (multiplicity 1)  5 As 2.50-2.63

=====

3.
An optimized crystal structure of Sr2As2Rh. Source: Alexandria via LeMat-Bulk, functional PBE.

Results
Formation enthalpy at 0 K = -0.890 eV per atom
Energy = -4.892 eV/atom
Magnetic moment = 0.000 μB per atom
Volume = 25.3 A^3/atom

Cell lengths 11.6287, 4.3235, 11.6052 Å; angles 90.00, 119.72, 90.00 degrees
Last column: nearest neighbours and their distance in Å.
Space group C2/m (No. 12)
Symmetry-distinct sites (fractional):
Sr  0.0081  0.0000  0.1565 (multiplicity 4)  5 As 3.09-3.38, 3 Rh 3.25-3.39
Sr  0.1691  0.0000  0.6062 (multiplicity 4)  6 As 3.29-3.37, 2 Rh 3.45, 1 Sr 3.45
As  0.0230  0.5000  0.3537 (multiplicity 4)  1 Rh 2.56
As  0.1837  0.5000  0.0676 (multiplicity 4)  3 Rh 2.45-2.61
Rh  0.2060  0.5000  0.8543 (multiplicity 4)  4 As 2.45-2.61

=====

4.
An optimized crystal structure of SrAs2Rh. Source: Alexandria via LeMat-Bulk, functional PBE.

Results
Formation enthalpy at 0 K = -0.034 eV per atom
Energy = -4.617 eV/atom
Magnetic moment = 0.000 μB per atom
Volume = 20.7 A^3/atom

Cell lengths 6.9192, 6.9192, 6.9192 Å; angles 90.00, 90.00, 90.00 degrees
Last column: nearest neighbours and their distance in Å.
Space group F-43m (No. 216)
Symmetry-distinct sites (fractional):
Sr  0.0000  0.0000  0.0000 (multiplicity 4)  4 As 3.00, 4 Rh 3.00
As  0.0000  0.0000  0.5000 (multiplicity 4)  4 Rh 3.00, 4 As 3.00
As  0.2500  0.2500  0.2500 (multiplicity 4)  4 As 3.00, 4 Sr 3.00
Rh  0.2500  0.2500  0.7500 (multiplicity 4)  4 As 3.00, 4 Sr 3.00

=====

5.
An optimized crystal structure of SrAs12Rh4. Source: Alexandria via LeMat-Bulk, functional PBE.

Results
Formation enthalpy at 0 K = -0.505 eV per atom
Energy = -5.615 eV/atom
Magnetic moment = 0.000 μB per atom
Volume = 19.2 A^3/atom

Cell lengths 8.6789, 8.6789, 8.6789 Å; angles 90.00, 90.00, 90.00 degrees
Last column: nearest neighbours and their distance in Å.
Space group Im-3 (No. 204)
Symmetry-distinct sites (fractional):
Sr  0.0000  0.0000  0.0000 (multiplicity 2)  12 As 3.30
As  0.0000  0.3503  0.1487 (multiplicity 24)  2 Rh 2.50, 2 As 2.58-2.60
Rh  0.2500  0.2500  0.2500 (multiplicity 8)  6 As 2.50

=====

6.
An optimized crystal structure of SrAsRh2. Source: Alexandria via LeMat-Bulk, functional PBE.

Results
Formation enthalpy at 0 K = -0.120 eV per atom
Energy = -5.378 eV/atom
Magnetic moment = 0.000 μB per atom
Volume = 18.2 A^3/atom

Cell lengths 4.4497, 4.4497, 7.3470 Å; angles 90.00, 90.00, 90.00 degrees
Last column: nearest neighbours and their distance in Å.
Space group I4/mmm (No. 139)
Symmetry-distinct sites (fractional):
Sr  0.0000  0.0000  0.0000 (multiplicity 2)  8 Rh 2.89, 4 As 3.15
As  0.0000  0.0000  0.5000 (multiplicity 2)  8 Rh 2.89, 4 Sr 3.15
Rh  0.0000  0.5000  0.2500 (multiplicity 4)  4 As 2.89, 4 Sr 2.89, 4 Rh 3.15